No. 1
The following is a DFT calculation (PBE) of a relaxed structure of Ga2SbCl8.

Unit cell a=12.607 b=8.370 c=7.810 alpha=90.00 beta=91.33 gamma=90.00
Space group C2/m (No. 12)
Inequivalent atoms, fractional coordinates:
Ga 0.205 0.000 0.188 x4
Sb 0.000 0.000 0.500 x2
Cl 0.112 0.207 0.309 x8
Cl 0.135 0.500 0.716 x4
Cl 0.178 0.000 0.915 x4

**Formation energy without anion corrections**: -0.94 eV/atom
**Final energy**: -3.21 eV per atom

No. 2
The following is a DFT calculation (PBE) of a relaxed structure of Ba2MgRe.

Unit cell a=3.6228 b=3.6228 c=33.8279 alpha=90.00 beta=90.00 gamma=120.00
Space group R3m (No. 160, hexagonal axes)
Inequivalent atoms, fractional coordinates:
Ba 0.0000 0.0000 0.0000 x3
Ba 0.0000 0.0000 0.2145 x3
Mg 0.0000 0.0000 0.4567 x3
Re 0.0000 0.0000 0.7359 x3

**Final energy**: -3.46 eV per atom
**Fermi-level density of states**: 13.629 states/eV/cell

No. 3
The following is a DFT calculation (PBE) of a relaxed structure of TlSi2Se.

Unit cell a=3.5015 b=3.5015 c=26.1047 alpha=90.00 beta=90.00 gamma=120.00
Space group R3m (No. 160, hexagonal axes)
Inequivalent atoms, fractional coordinates:
Tl 0.0000 0.0000 0.0000 x3
Si 0.0000 0.0000 0.2418 x3
Si 0.0000 0.0000 0.5184 x3
Se 0.0000 0.0000 0.7948 x3

**Formation energy without anion corrections**: 0.14 eV/atom
**Final energy**: -4.03 eV per atom
**Excess energy over the best structure of this formula in the dataset**: 0.0 meV/atom
**Fermi-level density of states**: 4.657 states/eV/cell

No. 4
The following is a DFT calculation (PBE) of a relaxed structure of Ca2TcHgO.

Unit cell a=5.019 b=5.019 c=3.926 alpha=90.00 beta=90.00 gamma=90.00
Space group P4/mmm (No. 123)
Inequivalent atoms, fractional coordinates:
Ca 0.000 0.500 0.000 x2
Tc 0.000 0.000 0.500 x1
Hg 0.500 0.500 0.500 x1
O 0.000 0.000 0.000 x1

**Formation energy without anion corrections**: -0.84 eV/atom
**Final energy**: -4.76 eV per atom
**Fermi-level density of states**: 2.153 states/eV/cell

No. 5
The following is a DFT calculation (PBE) of a relaxed structure of SmEuCdGa.

Unit cell a=7.569 b=7.569 c=7.569 alpha=90.00 beta=90.00 gamma=90.00
Space group F-43m (No. 216)
Inequivalent atoms, fractional coordinates:
Sm 0.000 0.000 0.000 x4
Eu 0.000 0.000 0.500 x4
Cd 0.250 0.250 0.750 x4
Ga 0.250 0.250 0.250 x4

**Final energy**: -5.14 eV per atom
**Fermi-level density of states**: 27.164 states/eV/cell

No. 6
The following is a DFT calculation (PBE) of a relaxed structure of PmErInRh.

Unit cell a=7.274 b=7.274 c=7.274 alpha=90.00 beta=90.00 gamma=90.00
Space group F-43m (No. 216)
Inequivalent atoms, fractional coordinates:
Pm 0.000 0.000 0.000 x4
Er 0.000 0.000 0.500 x4
In 0.250 0.250 0.250 x4
Rh 0.250 0.250 0.750 x4

**Final energy**: -5.37 eV per atom
**Fermi-level density of states**: 12.168 states/eV/cell

Number 1: magnetic moment 2.00 μB per cell. Number 2: magnetic moment 2.77 μB per cell. Number 3: magnetic moment 0.00 μB per cell. Number 4: magnetic moment 0.00 μB per cell. Number 5: magnetic moment 29.45 μB per cell. Number 6: magnetic moment 0.00 μB per cell.